Compound: PaZn3Cu
Source: Alexandria via LeMat-Bulk
Functional: PBE
Structure: optimized geometry

Computed properties:
**Energy of formation**: -27 meV per atom
**Final energy**: -3.5094 eV/atom
**Total magnetic moment**: 0.0 μB per formula unit
**Excess energy over the best structure of this formula in the dataset**: 0.036 eV per atom

Cell: 7.408 7.316 7.316 Å, 108.73 108.95 71.05°
Element x y z (fractional)
Pa 0.750 0.235 0.235
Pa 0.250 0.765 0.765
Pa 0.750 0.565 0.565
Pa 0.250 0.435 0.435
Zn 0.353 0.165 0.036
Zn 0.147 0.036 0.165
Zn 0.647 0.835 0.964
Zn 0.853 0.964 0.835
Zn 0.029 0.690 0.058
Zn 0.471 0.058 0.690
Zn 0.971 0.310 0.942
Zn 0.529 0.942 0.310
Zn 0.576 0.420 0.840
Zn 0.924 0.840 0.420
Zn 0.424 0.580 0.160
Zn 0.076 0.160 0.580
Cu 0.226 0.414 0.831
Cu 0.274 0.831 0.414
Cu 0.774 0.586 0.169
Cu 0.726 0.169 0.586